[1]
Computed, not measured: a crystal of LiSnF2 relaxed with PBEsol at the SCAN level of DFT.

Structure (POSCAR):
```
LiSnF2
1.0
1.5615 0.9015 6.5161
-1.5615 0.9015 6.5161
0.0000 -1.8031 6.5161
Li Sn F
1 1 2
Direct
0.0000 0.0000 0.0000
0.5000 0.5000 0.5000
0.3867 0.3867 0.3867
0.6133 0.6133 0.6133
```

ΔE to the lowest computed polymorph	0	meV/atom

[2]
Computed, not measured: a crystal of LiCd2I relaxed with PBEsol at the SCAN level of DFT.

Structure (POSCAR):
```
LiCd2I
1.0
-4.5180 4.5180 2.7750
4.5180 -4.5180 2.7750
4.5180 4.5180 -2.7750
Li Cd I
2 4 2
Direct
0.0000 0.0000 0.0000
0.7500 0.2500 0.5000
0.1274 0.1250 0.5024
0.3750 0.8726 0.9976
0.6226 0.6250 0.4976
0.8750 0.3774 0.0024
0.2500 0.7500 0.5000
0.5000 0.5000 0.0000
```

[3]
Computed, not measured: a crystal of SrSbTe2W relaxed with PBEsol at the SCAN level of DFT.

Structure (POSCAR):
```
SrSbTe2W
1.0
5.1292 0.0000 0.0000
0.0000 5.1292 0.0000
0.0000 0.0000 5.9669
Sr Sb Te W
1 1 2 1
Direct
0.0000 0.0000 0.0000
0.5000 0.5000 0.0000
0.0000 0.5000 0.5000
0.5000 0.0000 0.5000
0.0000 0.0000 0.5000
```

| no. | formation energy (no corrections) (kJ/mol of formula units) | total moment (Bohr magnetons per cell) |
| --- | --- | --- |
| 1 | -899 | 0.00 |
| 2 | -107 | 0.00 |
| 3 | 249 | 0.00 |